# CsK2LaV2O8

Crystalline CsK2LaV2O8 at its relaxed geometry (PBE with a Hubbard U, Alexandria).

Properties
Electronic total energy = -6.79 eV/atom

Unit cell a=7.9511 b=6.1539 c=10.2002 alpha=90.00 beta=91.97 gamma=90.00
Fractional coordinates of all 28 atoms:
Cs  0.1226  0.2500  0.4081
Cs  0.8774  0.7500  0.5919
K  0.0067  0.7500  0.1877
K  0.3020  0.7500  0.9134
K  0.6980  0.2500  0.0866
K  0.9933  0.2500  0.8123
La  0.4936  0.2500  0.7145
La  0.5064  0.7500  0.2855
V  0.2631  0.2500  0.0810
V  0.3185  0.7500  0.5725
V  0.6815  0.2500  0.4275
V  0.7369  0.7500  0.9190
O  0.0474  0.2500  0.0870
O  0.2200  0.7500  0.4167
O  0.2683  0.5182  0.6637
O  0.2683  0.9818  0.6637
O  0.3213  0.2500  0.9172
O  0.3429  0.0142  0.1586
O  0.3429  0.4858  0.1586
O  0.4724  0.2500  0.4635
O  0.5276  0.7500  0.5365
O  0.6571  0.5142  0.8414
O  0.6571  0.9858  0.8414
O  0.6787  0.7500  0.0828
O  0.7317  0.0182  0.3363
O  0.7317  0.4818  0.3363
O  0.7800  0.2500  0.5833
O  0.9526  0.7500  0.9130